# Nd3SmIr PBE relaxed
# - Calculated volume: 35.58 Å³/atom
# - Energy: -28.582 eV/f.u.
# - Relative energy among the computed polymorphs: 0.110 eV per atom
# - Density: 7.237 g cm⁻³
# - DFT formation energy: -0.140 eV/atom
data_Nd3SmIr
_chemical_formula_sum 'Nd3 Sm1 Ir1'
_cell_length_a 5.6240
_cell_length_b 5.6240
_cell_length_c 5.6240
_cell_angle_alpha 90.00
_cell_angle_beta 90.00
_cell_angle_gamma 90.00
_symmetry_space_group_name_H-M 'P m -3 m'
_symmetry_Int_Tables_number 221
_symmetry_space_group_name_Hall '-P 4 2 3'
loop_
_atom_site_label
_atom_site_fract_x
_atom_site_fract_y
_atom_site_fract_z
_atom_site_occupancy
Nd1 0.0000 0.0000 0.5000 1
Sm1 0.5000 0.5000 0.5000 1
Ir1 0.0000 0.0000 0.0000 1